1.
Material: SmZn4Cu4
Method: DFT, GGA-PBE
State: optimized geometry

a b c (Å): 4.333 8.186 8.186
angles (deg): 90.00 90.00 90.00
Atoms (fractional coordinates):
Cu  0.000  0.361  0.736
Zn  0.000  0.091  0.622
Sm  0.000  0.000  0.000
Cu  0.000  0.264  0.361
Zn  0.000  0.909  0.378
Zn  0.000  0.622  0.909
Sm  0.500  0.500  0.500
Zn  0.500  0.591  0.122
Zn  0.500  0.409  0.878
Cu  0.000  0.639  0.264
Cu  0.500  0.236  0.139
Cu  0.500  0.861  0.236
Cu  0.500  0.139  0.764
Zn  0.500  0.122  0.409
Cu  0.500  0.764  0.861
Cu  0.000  0.736  0.639
Zn  0.000  0.378  0.091
Zn  0.500  0.878  0.591

Summary:
theoretical density	7.62	g/cm3
DFT formation energy	-0.044	eV per atom
space group	I4/m, No. 87
electronic total energy	-53.19	eV/cell

---

2.
Material: SmZn4Cu2
Method: DFT, GGA-PBE
State: optimized geometry

a b c (Å): 5.068 5.337 5.337
angles (deg): 77.37 61.81 61.81
Atoms (fractional coordinates):
Zn  0.693  0.614  0.999
Zn  0.307  0.386  0.001
Cu  0.250  0.500  0.500
Zn  0.694  0.999  0.614
Cu  0.750  0.500  0.500
Sm  0.000  0.000  0.000
Zn  0.306  0.001  0.386

Summary:
theoretical density	7.98	g/cm3
DFT formation energy	-0.221	eV per atom
space group	C2/m, No. 12
electronic total energy	-19.55	eV/cell

---

3.
Material: Sm2Zn15Cu2
Method: DFT, GGA-PBE
State: optimized geometry

a b c (Å): 6.789 6.789 6.789
angles (deg): 82.64 82.64 82.64
Atoms (fractional coordinates):
Zn  0.000  0.289  0.711
Zn  0.157  0.650  0.650
Zn  0.650  0.650  0.157
Zn  0.000  0.500  0.000
Zn  0.350  0.843  0.350
Zn  0.289  0.000  0.711
Sm  0.336  0.336  0.336
Zn  0.650  0.157  0.650
Zn  0.500  0.000  0.000
Zn  0.289  0.711  0.000
Zn  0.000  0.711  0.289
Zn  0.000  0.000  0.500
Zn  0.711  0.000  0.289
Cu  0.901  0.901  0.901
Zn  0.711  0.289  0.000
Zn  0.350  0.350  0.843
Zn  0.843  0.350  0.350
Cu  0.099  0.099  0.099
Sm  0.664  0.664  0.664

Summary:
theoretical density	7.65	g/cm3
DFT formation energy	-0.235	eV per atom
space group	R-3m, No. 166
electronic total energy	-41.21	eV/cell

---

4.
Material: Sm3Zn3Cu
Method: DFT, GGA-PBE
State: optimized geometry

a b c (Å): 4.494 3.619 10.182
angles (deg): 100.24 102.75 90.00
Atoms (fractional coordinates):
Sm  0.312  0.812  0.624
Zn  0.864  0.364  0.727
Cu  0.435  0.435  0.869
Sm  0.997  0.997  0.993
Sm  0.692  0.192  0.384
Zn  0.137  0.637  0.274
Zn  0.564  0.564  0.128

Summary:
theoretical density	7.43	g/cm3
DFT formation energy	-0.278	eV per atom
space group	Imm2, No. 44
electronic total energy	-24.02	eV/cell